Record 1
Entry from the Alexandria database: crystalline Sc3C4 at its relaxed geometry (GGA-PBEsol).

The structure belongs to space group Pm-3m (No. 221); the cell edges are 4.581, 4.581 and 4.581 Å and the angles 90.00°, 90.00° and 90.00°. The distinct sites, in fractional coordinates, are Sc at (0.000, 0.000, 0.500), C at (0.000, 0.000, 0.000) and C at (0.000, 0.500, 0.500).

The formation energy comes out at 5.935 eV per formula unit.

---

Record 2
Entry from the Alexandria database: crystalline Sc3CSe at its relaxed geometry (GGA-PBEsol).

The structure belongs to space group Pm-3m (No. 221); the cell edges are 4.832, 4.832 and 4.832 Å and the angles 90.00°, 90.00° and 90.00°. The distinct sites, in fractional coordinates, are Sc at (0.000, 0.000, 0.500), C at (0.500, 0.500, 0.500) and Se at (0.000, 0.000, 0.000).

For the uncorrected formation energy, the calculation gives 0.737 eV/atom.

---

| no. | DFT total energy (eV/atom) |
| --- | --- |
| 1 | -7.4936 |
| 2 | -5.9245 |